# 1
Pu3BiSb | PBE | relaxed

Its raw total energy is -103.54 eV per cell.

a = 7.6620 Å, b = 7.6620 Å, c = 6.0591 Å
α = 90.00°, β = 90.00°, γ = 120.00°
Closest atoms and distances in Å follow each position.
Space group P6_3/mmc (No. 194)
Asymmetric unit:
1 Pu 0.1981 0.3962 0.2500 (multiplicity 6)  2 Sb 3.03, 2 Pu 3.11
2 Bi 0.3333 0.6667 0.7500 (multiplicity 2)  12 Pu 3.52-3.85
3 Sb 0.0000 0.0000 0.0000 (multiplicity 2)  2 Sb 3.03, 6 Pu 3.03

# 2
Ce2CoAs3Ir4 | PBE | relaxed

Its formation energy is -64.4 kJ per mole of atoms.

a = 4.1601 Å, b = 4.1601 Å, c = 10.3309 Å
α = 90.00°, β = 90.00°, γ = 90.00°
Closest atoms and distances in Å follow each position.
Space group P-4m2 (No. 115)
Asymmetric unit:
1 Ce 0.0000 0.5000 0.2448 (multiplicity 2)  6 As 3.18-3.27, 8 Ir 3.18-3.36, 2 Co 3.27
2 Co 0.5000 0.5000 0.0000 (multiplicity 1)  4 Ir 2.46
3 As 0.0000 0.0000 0.0000 (multiplicity 1)  4 Ir 2.46
4 As 0.0000 0.5000 0.6389 (multiplicity 2)  5 Ir 2.41-2.53
5 Ir 0.0000 0.0000 0.5000 (multiplicity 1)  4 As 2.53
6 Ir 0.0000 0.5000 0.8720 (multiplicity 2)  3 As 2.41-2.46, 2 Co 2.46
7 Ir 0.5000 0.5000 0.5000 (multiplicity 1)  4 As 2.53

# 3
RbMnH2 | PBE | relaxed

Its raw total energy is -64.62 eV per cell.

a = 5.7746 Å, b = 5.7746 Å, c = 8.1203 Å
α = 90.00°, β = 90.00°, γ = 90.00°
Closest atoms and distances in Å follow each position.
Space group I-42d (No. 122)
Asymmetric unit:
1 Rb 0.0000 0.0000 0.0000 (multiplicity 4)  8 H 3.15-3.38, 4 Rb 3.53, 4 Mn 3.53
2 Mn 0.0000 0.0000 0.5000 (multiplicity 4)  4 H 1.79
3 H 0.0474 0.7500 0.6250 (multiplicity 8)  2 Mn 1.79

# 4
Dy2Ga3Hg | PBE | relaxed

Its formation energy is -53.4 kJ per mole of atoms.

a = 3.6013 Å, b = 4.5186 Å, c = 7.8803 Å
α = 90.00°, β = 90.00°, γ = 90.00°
Closest atoms and distances in Å follow each position.
Space group Pmm2 (No. 25)
Asymmetric unit:
1 Dy 0.0000 0.0000 0.0000 (multiplicity 1)  8 Ga 3.11-3.31, 4 Hg 3.22
2 Dy 0.0000 0.5000 0.4782 (multiplicity 1)  10 Ga 3.08-3.18, 2 Hg 3.25
3 Ga 0.5000 0.0000 0.3220 (multiplicity 1)  3 Ga 2.56-2.59
4 Ga 0.5000 0.0000 0.6473 (multiplicity 1)  1 Ga 2.56, 2 Hg 2.64
5 Ga 0.5000 0.5000 0.1608 (multiplicity 1)  2 Ga 2.59, 1 Hg 2.68
6 Hg 0.5000 0.5000 0.8209 (multiplicity 1)  3 Ga 2.64-2.68

# 5
RbTbI4 | PBE | relaxed

Its raw total energy is -81.63 eV per cell.

a = 10.9519 Å, b = 18.1531 Å, c = 7.8987 Å
α = 90.00°, β = 107.63°, γ = 90.00°
Closest atoms and distances in Å follow each position.
Space group C2/c (No. 15)
Asymmetric unit:
1 Rb 0.0000 0.2358 0.2500 (multiplicity 4)  6 I 3.67-3.90
2 Tb 0.0000 0.0662 0.7500 (multiplicity 4)  6 I 2.98-3.12
3 I 0.1614 0.0575 0.1447 (multiplicity 8)  2 Tb 3.09-3.12
4 I 0.1827 0.1801 0.7023 (multiplicity 8)  1 Tb 2.98